[1]
The following is a DFT calculation (PBE) of RbAc3As4O12 after structural relaxation.

Cell: 7.7643 7.7643 7.7643 Å, 102.97 102.97 102.97°
Last column: nearest neighbours and their distance in Å.
Atoms (fractional coordinates):
Rb1 0.0000 0.0000 0.0000  6 O 3.14
Ac1 0.0000 0.5590 0.4410  6 O 2.47-2.64
Ac2 0.4410 0.0000 0.5590  6 O 2.47-2.64
Ac3 0.5590 0.4410 0.0000  6 O 2.47-2.64
As1 0.0662 0.5000 0.9338  3 O 1.77-1.79
As2 0.5000 0.5000 0.5000  3 O 1.96
As3 0.5000 0.9338 0.0662  3 O 1.77-1.79
As4 0.9338 0.0662 0.5000  3 O 1.77-1.79
O1 0.0104 0.2368 0.3899  1 As 1.79
O2 0.0797 0.9203 0.5000  1 As 1.77
O3 0.2368 0.3899 0.0104  1 As 1.79
O4 0.3390 0.6610 0.5000  1 As 1.96
O5 0.3899 0.0104 0.2368  1 As 1.79
O6 0.5000 0.0797 0.9203  1 As 1.77
O7 0.5000 0.3390 0.6610  1 As 1.96
O8 0.6101 0.7632 0.9896  1 As 1.79
O9 0.6610 0.5000 0.3390  1 As 1.96
O10 0.7632 0.9896 0.6101  1 As 1.79
O11 0.9203 0.5000 0.0797  1 As 1.77
O12 0.9896 0.6101 0.7632  1 As 1.79

Summary:
The density of states at the Fermi level is 5.520 states/eV/cell. As for the space group: R32, No. 155. The value obtained for the uncorrected formation energy is -1788 meV per atom. The calculation puts the total moment at 0.00 μB/f.u. For the total energy, the calculation gives -6.3579 eV/atom.

[2]
The following is a DFT calculation (PBE) of AcAsRhO5 after structural relaxation.

Cell: 5.6678 5.6678 9.1275 Å, 99.91 99.91 109.05°
Last column: nearest neighbours and their distance in Å.
Atoms (fractional coordinates):
Ac1 0.0000 0.0000 0.0000  6 O 2.50-2.58
Ac2 0.0000 0.0000 0.5000  6 O 2.50-2.58
As1 0.3197 0.6803 0.7500  4 O 1.71-1.76
As2 0.6803 0.3197 0.2500  4 O 1.71-1.76
Rh1 0.3140 0.6860 0.2500  3 O 1.89-2.09
Rh2 0.6860 0.3140 0.7500  3 O 1.89-2.09
O1 0.0209 0.6392 0.7944  1 As 1.76
O2 0.1096 0.8904 0.2500  1 Rh 1.89
O3 0.3151 0.4519 0.5998  1 As 1.71
O4 0.3608 0.9791 0.7056  1 As 1.76
O5 0.4519 0.3151 0.0998  1 As 1.71
O6 0.5481 0.6849 0.9002  1 As 1.71
O7 0.6392 0.0209 0.2944  1 As 1.76
O8 0.6849 0.5481 0.4002  1 As 1.71
O9 0.8904 0.1096 0.7500  1 Rh 1.89
O10 0.9791 0.3608 0.2056  1 As 1.76

Summary:
The density of states at the Fermi level is 2.453 states/eV/cell. As for the space group: C2/c, No. 15. The value obtained for the uncorrected formation energy is -1581 meV per atom. The calculation puts the total moment at 1.01 μB/f.u. For the total energy, the calculation gives -6.6937 eV/atom.

Copy entry 1 word for word.
The following is a DFT calculation (PBE) of RbAc3As4O12 after structural relaxation.

Cell: 7.7643 7.7643 7.7643 Å, 102.97 102.97 102.97°
Last column: nearest neighbours and their distance in Å.
Atoms (fractional coordinates):
Rb1 0.0000 0.0000 0.0000  6 O 3.14
Ac1 0.0000 0.5590 0.4410  6 O 2.47-2.64
Ac2 0.4410 0.0000 0.5590  6 O 2.47-2.64
Ac3 0.5590 0.4410 0.0000  6 O 2.47-2.64
As1 0.0662 0.5000 0.9338  3 O 1.77-1.79
As2 0.5000 0.5000 0.5000  3 O 1.96
As3 0.5000 0.9338 0.0662  3 O 1.77-1.79
As4 0.9338 0.0662 0.5000  3 O 1.77-1.79
O1 0.0104 0.2368 0.3899  1 As 1.79
O2 0.0797 0.9203 0.5000  1 As 1.77
O3 0.2368 0.3899 0.0104  1 As 1.79
O4 0.3390 0.6610 0.5000  1 As 1.96
O5 0.3899 0.0104 0.2368  1 As 1.79
O6 0.5000 0.0797 0.9203  1 As 1.77
O7 0.5000 0.3390 0.6610  1 As 1.96
O8 0.6101 0.7632 0.9896  1 As 1.79
O9 0.6610 0.5000 0.3390  1 As 1.96
O10 0.7632 0.9896 0.6101  1 As 1.79
O11 0.9203 0.5000 0.0797  1 As 1.77
O12 0.9896 0.6101 0.7632  1 As 1.79

Summary:
The density of states at the Fermi level is 5.520 states/eV/cell. As for the space group: R32, No. 155. The value obtained for the uncorrected formation energy is -1788 meV per atom. The calculation puts the total moment at 0.00 μB/f.u. For the total energy, the calculation gives -6.3579 eV/atom.